Record 1
K3NpO4, relaxed, DFT PBE; ΔE to the lowest computed polymorph = 0.172 eV/atom; ΔE_f (raw) = -16.33 eV/f.u.; symmetry = Pmn2_1 (31)
1.0
8.674 0.000 0.000
0.000 7.747 0.000
0.000 0.000 5.263
K Np O
6 2 8
direct
0.000 0.179 0.000 K
0.239 0.337 0.501 K
0.261 0.663 0.001 K
0.500 0.821 0.500 K
0.739 0.663 0.001 K
0.761 0.337 0.501 K
0.000 0.840 0.478 Np
0.500 0.160 0.978 Np
0.000 0.102 0.500 O
0.000 0.842 0.089 O
0.190 0.687 0.503 O
0.310 0.313 0.003 O
0.500 0.158 0.589 O
0.500 0.898 0.000 O
0.690 0.313 0.003 O
0.810 0.687 0.503 O

***

Record 2
Mg4Rh3, relaxed, DFT PBE; ΔE to the lowest computed polymorph = 0.000 eV/atom; formation enthalpy at 0 K = -355 meV/atom; symmetry = R-3m (166)
1.0
2.224 1.284 7.034
-2.224 1.284 7.034
0.000 -2.567 7.034
Mg Rh
4 3
direct
0.121 0.121 0.121 Mg
0.373 0.373 0.373 Mg
0.627 0.627 0.627 Mg
0.879 0.879 0.879 Mg
0.248 0.248 0.248 Rh
0.500 0.500 0.500 Rh
0.752 0.752 0.752 Rh

***

Record 3
Rb2Sb2Se5, relaxed, DFT PBE; ΔE to the lowest computed polymorph = 0.000 eV/atom; ΔE_f (raw) = -5.25 eV/f.u.; symmetry = P-1 (2)
1.0
5.937 0.000 0.000
-0.022 7.795 0.000
-2.666 -2.961 7.116
Rb Sb Se
2 2 5
direct
0.063 0.319 0.140 Rb
0.937 0.681 0.860 Rb
0.365 0.172 0.678 Sb
0.635 0.828 0.322 Sb
0.222 0.806 0.373 Se
0.424 0.916 0.828 Se
0.500 0.500 0.000 Se
0.576 0.084 0.172 Se
0.778 0.194 0.627 Se

***

Record 4
Na2GaPtN, relaxed, DFT PBE; ΔE_f (raw) = 1.01 eV/f.u.; symmetry = P4/mmm (123)
1.0
5.769 0.000 0.000
0.000 5.769 0.000
0.000 0.000 3.693
Na Ga Pt N
2 1 1 1
direct
0.000 0.500 0.000 Na
0.500 0.000 0.000 Na
0.000 0.000 0.500 Ga
0.500 0.500 0.000 Pt
0.500 0.500 0.500 N